# 1
Compound: GdHO2
Source: Alexandria
Functional: SCAN
Structure: single point on PBEsol structure

a b c (Å): 4.316 3.673 6.031
angles (deg): 90.00 108.66 90.00
Fractional coordinates of all 8 atoms:
Gd (0.167, 0.250, 0.309)
Gd (0.833, 0.750, 0.691)
H (0.487, 0.750, 0.074)
H (0.513, 0.250, 0.926)
O (0.255, 0.750, 0.061)
O (0.265, 0.750, 0.548)
O (0.735, 0.250, 0.452)
O (0.745, 0.250, 0.939)

Properties
Density in g cm⁻³: 6.97
VASP energy in eV for the cell shown: -171.76

---

# 2
Compound: Ta3CuS
Source: Alexandria
Functional: SCAN
Structure: single point on PBEsol structure

a b c (Å): 4.476 4.476 4.476
angles (deg): 90.00 90.00 90.00
Fractional coordinates of all 5 atoms:
Ta (0.000, 0.000, 0.500)
Ta (0.000, 0.500, 0.000)
Ta (0.500, 0.000, 0.000)
Cu (0.500, 0.500, 0.500)
S (0.000, 0.000, 0.000)

Properties
Density in g cm⁻³: 11.82
ΔE_f (raw) in eV per atom: 0.626
VASP energy in eV for the cell shown: -221.45

---

# 3
Compound: Y2Ge2Pt
Source: Alexandria
Functional: SCAN
Structure: single point on PBEsol structure

a b c (Å): 6.639 6.639 4.449
angles (deg): 90.00 90.00 90.00
Fractional coordinates of all 10 atoms:
Y (0.173, 0.327, 0.000)
Y (0.327, 0.827, 0.000)
Y (0.673, 0.173, 0.000)
Y (0.827, 0.673, 0.000)
Ge (0.137, 0.637, 0.500)
Ge (0.363, 0.137, 0.500)
Ge (0.637, 0.863, 0.500)
Ge (0.863, 0.363, 0.500)
Pt (0.000, 0.000, 0.500)
Pt (0.500, 0.500, 0.500)

Properties
Density in g cm⁻³: 8.78
Formation energy from the elements in meV/atom: -1144
VASP energy in eV for the cell shown: -339.55

---

# 4
Compound: Hg3Au
Source: Alexandria
Functional: SCAN
Structure: single point on PBEsol structure

a b c (Å): 3.220 5.066 5.449
angles (deg): 90.00 101.93 90.00
Fractional coordinates of all 4 atoms:
Hg (0.000, 0.000, 0.000)
Hg (0.311, 0.500, 0.740)
Hg (0.689, 0.500, 0.260)
Au (0.000, 0.000, 0.500)

Properties
Density in g cm⁻³: 15.26
Energy relative to the lowest polymorph listed for this composition in eV per formula unit: 0.22
Formation energy from the elements in meV/atom: 90
VASP energy in eV for the cell shown: -273.30

---

# 5
Compound: MoOs3
Source: Alexandria
Functional: SCAN
Structure: single point on PBEsol structure

a b c (Å): 5.151 5.151 5.151
angles (deg): 149.15 64.46 124.94
Fractional coordinates of all 4 atoms:
Mo (0.000, 0.000, 0.000)
Os (0.082, 0.330, 0.752)
Os (0.499, 0.999, 0.500)
Os (0.578, 0.330, 0.248)

Properties
Density in g cm⁻³: 19.47
Formation energy from the elements in meV/atom: -49
VASP energy in eV for the cell shown: -250.72

---

# 6
Compound: Mg2MnTc
Source: Alexandria
Functional: SCAN
Structure: single point on PBEsol structure

a b c (Å): 2.945 2.945 7.201
angles (deg): 90.00 90.00 90.00
Fractional coordinates of all 4 atoms:
Mg (0.000, 0.000, 0.000)
Mg (0.500, 0.500, 0.324)
Mn (0.000, 0.000, 0.568)
Tc (0.500, 0.500, 0.739)

Properties
Density in g cm⁻³: 5.36
Formation energy from the elements in meV/atom: 67
VASP energy in eV for the cell shown: -62.99

---

# 7
Compound: Cu3HF
Source: Alexandria
Functional: SCAN
Structure: single point on PBEsol structure

a b c (Å): 4.017 4.017 4.017
angles (deg): 90.00 90.00 90.00
Fractional coordinates of all 5 atoms:
Cu (0.000, 0.000, 0.500)
Cu (0.000, 0.500, 0.000)
Cu (0.500, 0.000, 0.000)
H (0.500, 0.500, 0.500)
F (0.000, 0.000, 0.000)

Properties
Density in g cm⁻³: 5.40
VASP energy in eV for the cell shown: -49.23

---

# 8
Compound: LiNb2Cl
Source: Alexandria
Functional: SCAN
Structure: single point on PBEsol structure

a b c (Å): 4.393 4.393 4.393
angles (deg): 60.00 60.00 60.00
Fractional coordinates of all 4 atoms:
Li (0.000, 0.000, 0.000)
Nb (0.250, 0.250, 0.250)
Nb (0.750, 0.750, 0.750)
Cl (0.500, 0.500, 0.500)

Properties
Density in g cm⁻³: 6.32
ΔE_f (raw) in eV per atom: 0.750
VASP energy in eV for the cell shown: -73.63

---

# 9
Compound: Ir2PbICl
Source: Alexandria
Functional: SCAN
Structure: single point on PBEsol structure

a b c (Å): 5.072 5.072 6.006
angles (deg): 90.00 90.00 90.00
Fractional coordinates of all 5 atoms:
Ir (0.000, 0.500, 0.000)
Ir (0.500, 0.000, 0.000)
Pb (0.000, 0.000, 0.000)
I (0.000, 0.000, 0.500)
Cl (0.500, 0.500, 0.500)

Properties
Density in g cm⁻³: 8.10
ΔE_f (raw) in eV per atom: 1.822
VASP energy in eV for the cell shown: -253.59

---

# 10
Compound: CsSn2Au2
Source: Alexandria
Functional: SCAN
Structure: single point on PBEsol structure

a b c (Å): 6.677 6.677 6.677
angles (deg): 137.17 137.17 62.18
Fractional coordinates of all 5 atoms:
Cs (0.000, 0.000, 0.000)
Sn (0.250, 0.750, 0.500)
Sn (0.750, 0.250, 0.500)
Au (0.373, 0.373, 0.000)
Au (0.627, 0.627, 0.000)

Properties
Density in g cm⁻³: 9.33
Formation energy from the elements in meV/atom: -256
VASP energy in eV for the cell shown: -249.25

---

# 11
Compound: Tl2AgAu
Source: Alexandria
Functional: SCAN
Structure: single point on PBEsol structure

a b c (Å): 4.978 4.978 4.978
angles (deg): 60.00 60.00 60.00
Fractional coordinates of all 4 atoms:
Tl (0.000, 0.000, 0.000)
Tl (0.250, 0.250, 0.250)
Ag (0.500, 0.500, 0.500)
Au (0.750, 0.750, 0.750)

Properties
Density in g cm⁻³: 13.58
Energy relative to the lowest polymorph listed for this composition in eV per formula unit: 0.43
Formation energy from the elements in meV/atom: 137
VASP energy in eV for the cell shown: -244.69

---

# 12
Compound: SrScCr2
Source: Alexandria
Functional: SCAN
Structure: single point on PBEsol structure

a b c (Å): 3.229 4.196 6.513
angles (deg): 90.00 90.00 90.00
Fractional coordinates of all 4 atoms:
Sr (0.000, 0.000, 0.000)
Sc (0.000, 0.000, 0.500)
Cr (0.500, 0.500, 0.358)
Cr (0.500, 0.500, 0.642)

Properties
Density in g cm⁻³: 4.45
Energy relative to the lowest polymorph listed for this composition in eV per formula unit: 0.83
Formation energy from the elements in meV/atom: 738
VASP energy in eV for the cell shown: -70.33

---

# 13
Compound: LiCoCu2Se
Source: Alexandria
Functional: SCAN
Structure: single point on PBEsol structure

a b c (Å): 4.482 4.482 4.248
angles (deg): 90.00 90.00 90.00
Fractional coordinates of all 5 atoms:
Li (0.000, 0.000, 0.000)
Co (0.500, 0.500, 0.000)
Cu (0.000, 0.500, 0.500)
Cu (0.500, 0.000, 0.500)
Se (0.500, 0.500, 0.500)

Properties
Density in g cm⁻³: 5.29
ΔE_f (raw) in eV per atom: 0.478
VASP energy in eV for the cell shown: -67.78

---

# 14
Compound: CaIn2Pb
Source: Alexandria
Functional: SCAN
Structure: single point on PBEsol structure

a b c (Å): 4.603 4.603 4.898
angles (deg): 90.00 90.00 90.00
Fractional coordinates of all 4 atoms:
Ca (0.000, 0.000, 0.000)
In (0.000, 0.500, 0.500)
In (0.500, 0.000, 0.500)
Pb (0.500, 0.500, 0.000)

Properties
Density in g cm⁻³: 7.63
Formation energy from the elements in meV/atom: -425
VASP energy in eV for the cell shown: -153.92

---

# 15
Compound: KInPb
Source: Alexandria
Functional: SCAN
Structure: single point on PBEsol structure

a b c (Å): 7.845 7.845 7.845
angles (deg): 153.88 153.88 37.28
Fractional coordinates of all 3 atoms:
K (0.000, 0.000, 0.000)
In (0.324, 0.324, 0.000)
Pb (0.685, 0.685, 0.000)

Properties
Density in g cm⁻³: 6.42
Formation energy from the elements in meV/atom: -185
VASP energy in eV for the cell shown: -118.05

---

# 16
Compound: CaMg2Re
Source: Alexandria
Functional: SCAN
Structure: single point on PBEsol structure

a b c (Å): 5.774 5.774 2.839
angles (deg): 100.03 100.03 118.10
Fractional coordinates of all 4 atoms:
Ca (0.000, 0.000, 0.000)
Mg (0.000, 0.500, 0.500)
Mg (0.500, 0.000, 0.500)
Re (0.500, 0.500, 0.000)

Properties
Density in g cm⁻³: 5.81
Energy relative to the lowest polymorph listed for this composition in eV per formula unit: 0.12
Formation energy from the elements in meV/atom: 565
VASP energy in eV for the cell shown: -88.45

---

# 17
Compound: Al2O3
Source: Alexandria
Functional: SCAN
Structure: single point on PBEsol structure

a b c (Å): 4.853 8.329 8.952
angles (deg): 90.00 90.00 90.00
Fractional coordinates of all 40 atoms:
Al (0.173, 0.030, 0.212)
Al (0.178, 0.348, 0.413)
Al (0.183, 0.660, 0.222)
Al (0.186, 0.346, 0.000)
Al (0.314, 0.846, 0.500)
Al (0.317, 0.160, 0.722)
Al (0.322, 0.848, 0.913)
Al (0.327, 0.530, 0.712)
Al (0.673, 0.470, 0.212)
Al (0.678, 0.152, 0.413)
Al (0.683, 0.840, 0.222)
Al (0.686, 0.154, 0.000)
Al (0.814, 0.654, 0.500)
Al (0.817, 0.340, 0.722)
Al (0.822, 0.652, 0.913)
Al (0.827, 0.970, 0.712)
O (0.020, 0.168, 0.353)
O (0.020, 0.825, 0.341)
O (0.022, 0.487, 0.847)
O (0.157, 0.339, 0.612)
O (0.157, 0.668, 0.586)
O (0.157, 0.999, 0.618)
O (0.343, 0.168, 0.086)
O (0.343, 0.499, 0.118)
O (0.343, 0.839, 0.112)
O (0.478, 0.987, 0.347)
O (0.480, 0.325, 0.841)
O (0.480, 0.668, 0.853)
O (0.520, 0.332, 0.353)
O (0.520, 0.675, 0.341)
O (0.522, 0.013, 0.847)
O (0.657, 0.161, 0.612)
O (0.657, 0.501, 0.618)
O (0.657, 0.832, 0.586)
O (0.843, 0.001, 0.118)
O (0.843, 0.332, 0.086)
O (0.843, 0.661, 0.112)
O (0.978, 0.513, 0.347)
O (0.980, 0.175, 0.841)
O (0.980, 0.832, 0.853)

Properties
Density in g cm⁻³: 3.74
ΔE_f (raw) in eV per atom: -3.342
VASP energy in eV for the cell shown: -407.28

---

# 18
Compound: Zn7In6
Source: Alexandria
Functional: SCAN
Structure: single point on PBEsol structure

a b c (Å): 11.622 11.622 11.622
angles (deg): 25.36 25.36 25.36
Fractional coordinates of all 13 atoms:
Zn (0.000, 0.000, 0.000)
Zn (0.096, 0.096, 0.593)
Zn (0.096, 0.593, 0.096)
Zn (0.407, 0.904, 0.904)
Zn (0.593, 0.096, 0.096)
Zn (0.904, 0.407, 0.904)
Zn (0.904, 0.904, 0.407)
In (0.155, 0.155, 0.155)
In (0.351, 0.351, 0.351)
In (0.450, 0.450, 0.450)
In (0.550, 0.550, 0.550)
In (0.649, 0.649, 0.649)
In (0.845, 0.845, 0.845)

Properties
Density in g cm⁻³: 7.51
Formation energy from the elements in meV/atom: 90
VASP energy in eV for the cell shown: -293.75

---

# 19
Compound: NiSbRhSe2
Source: Alexandria
Functional: SCAN
Structure: single point on PBEsol structure

a b c (Å): 5.214 5.214 4.789
angles (deg): 90.00 90.00 90.00
Fractional coordinates of all 5 atoms:
Ni (0.000, 0.000, 0.000)
Sb (0.500, 0.500, 0.500)
Rh (0.500, 0.500, 0.000)
Se (0.000, 0.500, 0.500)
Se (0.500, 0.000, 0.500)

Properties
Density in g cm⁻³: 5.63
ΔE_f (raw) in eV per atom: 1.240
VASP energy in eV for the cell shown: -121.16

---

# 20
Compound: KTe2OsBr
Source: Alexandria
Functional: SCAN
Structure: single point on PBEsol structure

a b c (Å): 5.840 5.840 5.494
angles (deg): 90.00 90.00 90.00
Fractional coordinates of all 5 atoms:
K (0.000, 0.000, 0.000)
Te (0.000, 0.500, 0.000)
Te (0.500, 0.000, 0.000)
Os (0.000, 0.000, 0.500)
Br (0.500, 0.500, 0.500)

Properties
Density in g cm⁻³: 5.00
ΔE_f (raw) in eV per atom: 2.033
VASP energy in eV for the cell shown: -164.00

---

# 21
Compound: KZnO2
Source: Alexandria
Functional: SCAN
Structure: single point on PBEsol structure

a b c (Å): 5.367 5.367 5.367
angles (deg): 113.35 113.35 101.96
Fractional coordinates of all 8 atoms:
K (0.000, 0.000, 0.000)
K (0.750, 0.250, 0.500)
Zn (0.250, 0.750, 0.500)
Zn (0.500, 0.500, 0.000)
O (0.233, 0.625, 0.108)
O (0.375, 0.483, 0.608)
O (0.517, 0.125, 0.892)
O (0.875, 0.767, 0.392)

Properties
Density in g cm⁻³: 3.86
ΔE_f (raw) in eV per atom: -1.252
VASP energy in eV for the cell shown: -78.63

---

# 22
Compound: CeCoSi2Rh
Source: Alexandria
Functional: SCAN
Structure: single point on PBEsol structure

a b c (Å): 5.685 5.685 5.685
angles (deg): 139.28 139.28 58.94
Fractional coordinates of all 5 atoms:
Ce (0.000, 0.000, 0.000)
Co (0.750, 0.250, 0.500)
Si (0.376, 0.376, 0.000)
Si (0.624, 0.624, 0.000)
Rh (0.250, 0.750, 0.500)

Properties
Density in g cm⁻³: 7.68
ΔE_f (raw) in eV per atom: -0.915
VASP energy in eV for the cell shown: -120.25

---

# 23
Compound: CaSi4Ir
Source: Alexandria
Functional: SCAN
Structure: single point on PBEsol structure

a b c (Å): 5.088 5.088 5.088
angles (deg): 60.00 60.00 60.00
Fractional coordinates of all 6 atoms:
Ca (0.000, 0.000, 0.000)
Si (0.127, 0.624, 0.624)
Si (0.624, 0.127, 0.624)
Si (0.624, 0.624, 0.127)
Si (0.624, 0.624, 0.624)
Ir (0.250, 0.250, 0.250)

Properties
Density in g cm⁻³: 6.15
ΔE_f (raw) in eV per atom: 0.384
VASP energy in eV for the cell shown: -118.52

---

# 24
Compound: ScCrNi
Source: Alexandria
Functional: SCAN
Structure: single point on PBEsol structure

a b c (Å): 2.805 2.805 6.179
angles (deg): 90.00 90.00 120.00
Fractional coordinates of all 3 atoms:
Sc (0.000, 0.000, 0.000)
Cr (0.667, 0.333, 0.645)
Ni (0.333, 0.667, 0.356)

Properties
Density in g cm⁻³: 6.14
Energy relative to the lowest polymorph listed for this composition in eV per formula unit: 0.76
Formation energy from the elements in meV/atom: 414
VASP energy in eV for the cell shown: -47.55

---

# 25
Compound: LuS
Source: Alexandria
Functional: SCAN
Structure: single point on PBEsol structure

a b c (Å): 3.752 3.752 3.752
angles (deg): 60.00 60.00 60.00
Fractional coordinates of all 2 atoms:
Lu (0.000, 0.000, 0.000)
S (0.500, 0.500, 0.500)

Properties
Density in g cm⁻³: 9.21
ΔE_f (raw) in eV per atom: -2.117
VASP energy in eV for the cell shown: -69.21

---

# 26
Compound: TaBe2Tl
Source: Alexandria
Functional: SCAN
Structure: single point on PBEsol structure

a b c (Å): 4.313 4.313 4.313
angles (deg): 60.00 60.00 60.00
Fractional coordinates of all 4 atoms:
Ta (0.000, 0.000, 0.000)
Be (0.250, 0.250, 0.250)
Be (0.750, 0.750, 0.750)
Tl (0.500, 0.500, 0.500)

Properties
Density in g cm⁻³: 11.80
Energy relative to the lowest polymorph listed for this composition in eV per formula unit: 1.14
Formation energy from the elements in meV/atom: 678
VASP energy in eV for the cell shown: -144.94

---

# 27
Compound: KBI2N
Source: Alexandria
Functional: SCAN
Structure: single point on PBEsol structure

a b c (Å): 6.320 6.320 5.021
angles (deg): 90.00 90.00 90.00
Fractional coordinates of all 5 atoms:
K (0.000, 0.000, 0.000)
B (0.500, 0.500, 0.500)
I (0.000, 0.500, 0.000)
I (0.500, 0.000, 0.000)
N (0.000, 0.000, 0.500)

Properties
Density in g cm⁻³: 2.63
ΔE_f (raw) in eV per atom: 1.541
VASP energy in eV for the cell shown: -90.83